{
  "formula": "Na2MnHF6",
  "functional": "PBE with a Hubbard U",
  "state": "relaxed",
  "cell": [[5.715, 0.000, 0.015], [0.000, 4.564, 0.000], [-0.080, 0.000, 9.693]],
  "species": ["Na", "Na", "Na", "Na", "Mn", "Mn", "H", "H", "F", "F", "F", "F", "F", "F", "F", "F", "F", "F", "F", "F"],
  "frac_coords": [[0.001, 0.001, 0.190], [0.499, 0.501, 0.310], [0.501, 0.499, 0.690], [0.999, 0.999, 0.810], [0.000, 0.500, 0.500], [0.500, 0.000, 0.000], [0.000, 0.500, 0.000], [0.500, 0.000, 0.500], [0.853, 0.290, 0.639], [0.880, 0.293, 0.000], [0.851, 0.289, 0.361], [0.649, 0.789, 0.139], [0.620, 0.793, 0.500], [0.647, 0.790, 0.861], [0.353, 0.210, 0.139], [0.380, 0.207, 0.500], [0.351, 0.211, 0.861], [0.120, 0.707, 0.000], [0.149, 0.711, 0.639], [0.147, 0.710, 0.361]],
  "energy_ev_per_atom": -4.8996
}